{
  "formula": "Rb2LiPr2W4O16",
  "functional": "PBE with a Hubbard U",
  "state": "relaxed",
  "lattice_angstrom": [[-4.273, -6.062, -1.676], [-3.617, 6.092, 3.071], [2.488, 4.634, -6.211]],
  "species": ["O", "O", "O", "O", "O", "O", "O", "O", "O", "O", "O", "O", "O", "O", "O", "O", "W", "W", "W", "W", "Pr", "Pr", "Rb", "Rb", "Li"],
  "frac_coords": [[0.512, 0.372, 0.591], [0.043, 0.601, 0.386], [0.046, 0.245, 0.356], [0.440, 0.635, 0.740], [0.374, 0.955, 0.657], [0.476, 0.633, 0.417], [0.985, 0.399, 0.620], [0.708, 0.253, 0.055], [0.802, 0.956, 0.764], [0.292, 0.767, 0.935], [0.198, 0.041, 0.227], [0.578, 0.378, 0.268], [0.624, 0.051, 0.336], [0.148, 0.393, 0.070], [0.861, 0.629, 0.917], [0.933, 0.740, 0.624], [0.298, 0.314, 0.293], [0.705, 0.690, 0.690], [0.206, 0.706, 0.682], [0.798, 0.299, 0.310], [0.243, 0.758, 0.209], [0.763, 0.251, 0.788], [0.752, 0.792, 0.201], [0.259, 0.153, 0.877], [0.248, 0.364, 0.612]]
}



{
  "formula": "Rb2LiPr2W4O16",
  "functional": "PBE with a Hubbard U",
  "state": "relaxed",
  "lattice_angstrom": [[-2.968, 5.919, 3.717], [6.096, 1.295, -4.395], [-3.937, -2.608, -6.638]],
  "species": ["Pr", "Pr", "O", "O", "O", "O", "O", "O", "O", "O", "O", "O", "O", "O", "O", "O", "O", "O", "Li", "W", "W", "W", "W", "Rb", "Rb"],
  "frac_coords": [[0.745, 0.754, 0.205], [0.265, 0.239, 0.795], [0.359, 0.619, 0.920], [0.787, 0.749, 0.933], [0.877, 0.961, 0.656], [0.695, 0.040, 0.232], [0.643, 0.374, 0.090], [0.022, 0.360, 0.585], [0.064, 0.369, 0.265], [0.933, 0.635, 0.734], [0.559, 0.236, 0.384], [0.541, 0.598, 0.379], [0.459, 0.400, 0.613], [0.315, 0.972, 0.738], [0.135, 0.041, 0.343], [0.219, 0.252, 0.070], [0.447, 0.765, 0.616], [0.974, 0.624, 0.412], [0.368, 0.988, 0.524], [0.294, 0.308, 0.318], [0.789, 0.305, 0.318], [0.199, 0.682, 0.695], [0.699, 0.708, 0.679], [0.228, 0.772, 0.155], [0.802, 0.247, 0.849]]
}



Per-record E, eV per atom: -7.202 -7.213
Per-record ΔE to the lowest computed polymorph, eV per atom: 0.0104 0.0000